Entry 1:
# Ac2Ga3CuGe4

Ac2Ga3CuGe4 after structural relaxation (PBE, the Alexandria database).

Calculated values
Formation energy   -395.5 meV/atom
Total DFT energy (no corrections)   -43.82 eV/cell

a = 4.7582 Å, b = 4.7582 Å, c = 9.6489 Å
α = 90.00°, β = 90.00°, γ = 90.00°
With the nearest neighbours (Å) after each atom.
Space group P-4m2 (No. 115)
Symmetry-distinct sites (fractional):
Ac 0.0000 0.5000 0.2414 x2  2 Cu 3.33, 7 Ga 3.33-3.63, 9 Ge 3.45-3.56
Ga 0.0000 0.0000 0.0000 x1  4 Ge 2.65
Ga 0.0000 0.5000 0.6172 x2  5 Ge 2.53-2.63
Cu 0.5000 0.5000 0.0000 x1  4 Ge 2.65
Ge 0.0000 0.0000 0.5000 x1  4 Ga 2.63
Ge 0.0000 0.5000 0.8797 x2  3 Ga 2.53-2.65, 2 Cu 2.65
Ge 0.5000 0.5000 0.5000 x1  4 Ga 2.63

---

Entry 2:
# AcGa2CuGe

AcGa2CuGe after structural relaxation (PBE, the Alexandria database).

Calculated values
Formation energy   -460.5 meV/atom
Total DFT energy (no corrections)   -42.36 eV/cell

a = 4.4376 Å, b = 4.5043 Å, c = 10.3632 Å
α = 90.00°, β = 90.00°, γ = 90.00°
With the nearest neighbours (Å) after each atom.
Space group Imm2 (No. 44)
Symmetry-distinct sites (fractional):
Ac 0.0000 0.0000 0.0000 x2  4 Ge 3.40, 4 Cu 3.41-3.44, 8 Ga 3.41-3.43
Ga 0.0000 0.0000 0.6269 x2  2 Ga 2.56, 1 Ge 2.58, 2 Cu 2.59
Ga 0.0000 0.5000 0.2499 x2  2 Ga 2.56, 2 Ge 2.62
Cu 0.0000 0.5000 0.7496 x2  2 Ga 2.59, 2 Ge 2.59
Ge 0.0000 0.0000 0.3783 x2  3 Ga 2.58-2.62, 2 Cu 2.59

---

What did the second record say?
# AcGa2CuGe

AcGa2CuGe after structural relaxation (PBE, the Alexandria database).

Calculated values
Formation energy   -460.5 meV/atom
Total DFT energy (no corrections)   -42.36 eV/cell

a = 4.4376 Å, b = 4.5043 Å, c = 10.3632 Å
α = 90.00°, β = 90.00°, γ = 90.00°
With the nearest neighbours (Å) after each atom.
Space group Imm2 (No. 44)
Symmetry-distinct sites (fractional):
Ac 0.0000 0.0000 0.0000 x2  4 Ge 3.40, 4 Cu 3.41-3.44, 8 Ga 3.41-3.43
Ga 0.0000 0.0000 0.6269 x2  2 Ga 2.56, 1 Ge 2.58, 2 Cu 2.59
Ga 0.0000 0.5000 0.2499 x2  2 Ga 2.56, 2 Ge 2.62
Cu 0.0000 0.5000 0.7496 x2  2 Ga 2.59, 2 Ge 2.59
Ge 0.0000 0.0000 0.3783 x2  3 Ga 2.58-2.62, 2 Cu 2.59